No. 1
VASP calculation (GGA-PBE) on a relaxed LiUBe crystal.

Cell and atoms, written as CIF:
```
data_LiUBe
_space_group_name_H-M_alt 'F -4 3 m'
_space_group_IT_number 216
_space_group_name_Hall 'F -4 2 3'
_cell_length_a 6.345
_cell_length_b 6.345
_cell_length_c 6.345
_cell_angle_alpha 90.00
_cell_angle_beta 90.00
_cell_angle_gamma 90.00
loop_
_atom_site_label
_atom_site_type_symbol
_atom_site_fract_x
_atom_site_fract_y
_atom_site_fract_z
_atom_site_occupancy
Li1 Li 0.000 0.000 0.000 1
U1 U 0.250 0.250 0.250 1
Be1 Be 0.000 0.000 0.500 1
```

Properties
size of the total moment	3.481	μB per formula unit

***

No. 2
VASP calculation (GGA-PBE) on a relaxed LiUBe crystal.

Cell and atoms, written as CIF:
```
data_LiUBe
_space_group_name_H-M_alt 'F -4 3 m'
_space_group_IT_number 216
_space_group_name_Hall 'F -4 2 3'
_cell_length_a 6.002
_cell_length_b 6.002
_cell_length_c 6.002
_cell_angle_alpha 90.00
_cell_angle_beta 90.00
_cell_angle_gamma 90.00
loop_
_atom_site_label
_atom_site_type_symbol
_atom_site_fract_x
_atom_site_fract_y
_atom_site_fract_z
_atom_site_occupancy
Li1 Li 0.000 0.000 0.000 1
U1 U 0.250 0.250 0.250 1
Be1 Be 0.250 0.250 0.750 1
```

Properties
size of the total moment	3.378	μB per formula unit

***

No. 3
VASP calculation (GGA-PBE) on a relaxed Li2BeW crystal.

Cell and atoms, written as CIF:
```
data_Li2BeW
_space_group_name_H-M_alt 'F -4 3 m'
_space_group_IT_number 216
_space_group_name_Hall 'F -4 2 3'
_cell_length_a 5.750
_cell_length_b 5.750
_cell_length_c 5.750
_cell_angle_alpha 90.00
_cell_angle_beta 90.00
_cell_angle_gamma 90.00
loop_
_atom_site_label
_atom_site_type_symbol
_atom_site_fract_x
_atom_site_fract_y
_atom_site_fract_z
_atom_site_occupancy
Li1 Li 0.000 0.000 0.000 1
Li2 Li 0.250 0.250 0.250 1
Be1 Be 0.000 0.000 0.500 1
W1 W 0.250 0.250 0.750 1
```

Properties
size of the total moment	0.003	μB per formula unit

***

No. 4
VASP calculation (GGA-PBE) on a relaxed LiBeW crystal.

Cell and atoms, written as CIF:
```
data_LiBeW
_space_group_name_H-M_alt 'F -4 3 m'
_space_group_IT_number 216
_space_group_name_Hall 'F -4 2 3'
_cell_length_a 5.569
_cell_length_b 5.569
_cell_length_c 5.569
_cell_angle_alpha 90.00
_cell_angle_beta 90.00
_cell_angle_gamma 90.00
loop_
_atom_site_label
_atom_site_type_symbol
_atom_site_fract_x
_atom_site_fract_y
_atom_site_fract_z
_atom_site_occupancy
Li1 Li 0.000 0.000 0.000 1
Be1 Be 0.000 0.000 0.500 1
W1 W 0.250 0.250 0.750 1
```

Properties
size of the total moment	0.008	μB per formula unit

***

no.,uncorrected energy (eV/atom)
1,-4.0899
2,-4.4052
3,-4.4172
4,-4.6450